(1)
# Pr2Ga3Rh4 (PBE-GGA, optimized geometry)
# Energy (eV per cell): -220.8
data_Pr2Ga3Rh4
_chemical_formula_sum 'Pr8 Ga12 Rh16'
_cell_length_a 5.726
_cell_length_b 15.468
_cell_length_c 7.420
_cell_angle_alpha 90.00
_cell_angle_beta 90.00
_cell_angle_gamma 90.00
_symmetry_space_group_name_H-M 'C m c e'
_symmetry_Int_Tables_number 64
_symmetry_space_group_name_Hall '-C 2ac 2'
loop_
_atom_site_label
_atom_site_fract_x
_atom_site_fract_y
_atom_site_fract_z
_atom_site_occupancy
Pr1 0.000 0.109 0.083 1
Ga1 0.000 0.000 0.500 1
Ga2 0.250 0.228 0.750 1
Rh1 0.000 0.180 0.480 1
Rh2 0.250 0.064 0.750 1

***

(2)
# LiCa3H3 (PBE-GGA, optimized geometry)
# Energy (eV per cell): -39.4
data_LiCa3H3
_chemical_formula_sum 'Li2 Ca6 H6'
_cell_length_a 6.506
_cell_length_b 6.506
_cell_length_c 6.506
_cell_angle_alpha 90.00
_cell_angle_beta 90.00
_cell_angle_gamma 90.00
_symmetry_space_group_name_H-M 'P m -3 n'
_symmetry_Int_Tables_number 223
_symmetry_space_group_name_Hall '-P 4n 2 3'
loop_
_atom_site_label
_atom_site_fract_x
_atom_site_fract_y
_atom_site_fract_z
_atom_site_occupancy
Li1 0.000 0.000 0.000 1
Ca1 0.000 0.250 0.500 1
H1 0.000 0.500 0.250 1

***

(3)
# ZnBAs (PBE-GGA, optimized geometry)
# Energy (eV per cell): -45.3
data_ZnBAs
_chemical_formula_sum 'Zn4 B4 As4'
_cell_length_a 13.937
_cell_length_b 3.340
_cell_length_c 4.491
_cell_angle_alpha 90.00
_cell_angle_beta 92.28
_cell_angle_gamma 90.00
_symmetry_space_group_name_H-M 'C 1 2/m 1'
_symmetry_Int_Tables_number 12
loop_
_symmetry_equiv_pos_as_xyz
'x,y,z'
'-x,-y,-z'
'-x,y,-z'
'x,-y,z'
'x+1/2,y+1/2,z'
'-x+1/2,-y+1/2,-z'
'-x+1/2,y+1/2,-z'
'x+1/2,-y+1/2,z'
loop_
_atom_site_label
_atom_site_fract_x
_atom_site_fract_y
_atom_site_fract_z
_atom_site_occupancy
Zn1 0.228 0.000 0.284 1
B1 0.000 0.500 0.322 1
As1 0.104 0.500 0.011 1

***

no.,magnetization (μB per cell)
1,0.0
2,0.0
3,0.0